#A
HfInSe2Br: optimized geometry, GGA-PBE.

a = 5.2385 Å, b = 5.2385 Å, c = 5.1671 Å
α = 90.00°, β = 90.00°, γ = 90.00°
With the nearest neighbours (Å) after each atom.
Element x y z (fractional)
1 Se 0.0000 0.5000 0.0000  2 In 2.62
2 Se 0.5000 0.0000 0.0000  2 In 2.62
3 Hf 0.5000 0.5000 0.5000  8 Se 3.68, 4 Br 3.70
4 In 0.0000 0.0000 0.0000  2 Br 2.58, 4 Se 2.62
5 Br 0.0000 0.0000 0.5000  2 In 2.58

## Properties
Space group: P4/mmm, No. 123
Calculated density in g cm⁻³: 6.22
DOS at the Fermi energy in states/eV per cell: 4.6

***

#B
HfInSe2Br: optimized geometry, GGA-PBE.

a = 5.2154 Å, b = 5.2154 Å, c = 5.3714 Å
α = 90.00°, β = 90.00°, γ = 90.00°
With the nearest neighbours (Å) after each atom.
Element x y z (fractional)
1 Br 0.0000 0.0000 0.5000  2 Hf 2.69
2 Hf 0.0000 0.0000 0.0000  4 Se 2.61, 2 Br 2.69
3 In 0.5000 0.5000 0.5000  4 Br 3.69, 8 Se 3.74
4 Se 0.5000 0.0000 0.0000  2 Hf 2.61
5 Se 0.0000 0.5000 0.0000  2 Hf 2.61

## Properties
Space group: P4/mmm, No. 123
Calculated density in g cm⁻³: 6.04
DOS at the Fermi energy in states/eV per cell: 0.7

***

Least stable = #A

***

#A
HfInSeBr2: optimized geometry, GGA-PBE.

a = 5.4453 Å, b = 5.4453 Å, c = 5.5654 Å
α = 90.00°, β = 90.00°, γ = 90.00°
With the nearest neighbours (Å) after each atom.
Element x y z (fractional)
1 Br 0.5000 0.0000 0.0000  2 In 2.72
2 Br 0.0000 0.5000 0.0000  2 In 2.72
3 In 0.0000 0.0000 0.0000  4 Br 2.72, 2 Se 2.78
4 Se 0.0000 0.0000 0.5000  2 In 2.78
5 Hf 0.5000 0.5000 0.5000  4 Se 3.85, 8 Br 3.89

## Properties
Space group: P4/mmm, No. 123
Calculated density in g cm⁻³: 5.35
DOS at the Fermi energy in states/eV per cell: 5.2

***

#B
HfInSeBr2: optimized geometry, GGA-PBE.

a = 5.6530 Å, b = 5.6530 Å, c = 5.5756 Å
α = 90.00°, β = 90.00°, γ = 90.00°
With the nearest neighbours (Å) after each atom.
Element x y z (fractional)
1 Se 0.0000 0.0000 0.5000  2 Hf 2.79
2 Br 0.0000 0.5000 0.0000  2 Hf 2.83
3 Br 0.5000 0.0000 0.0000  2 Hf 2.83
4 Hf 0.0000 0.0000 0.0000  2 Se 2.79, 4 Br 2.83
5 In 0.5000 0.5000 0.5000  8 Br 3.97, 4 Se 4.00

## Properties
Space group: P4/mmm, No. 123
Calculated density in g cm⁻³: 4.96
DOS at the Fermi energy in states/eV per cell: 2.5

***

Least stable = #A

***

#A
Hf2IrBr: optimized geometry, GGA-PBE.

a = 4.7577 Å, b = 4.7577 Å, c = 4.7577 Å
α = 60.00°, β = 60.00°, γ = 60.00°
With the nearest neighbours (Å) after each atom.
Element x y z (fractional)
1 Hf 0.7500 0.7500 0.7500  4 Br 2.91, 4 Ir 2.91
2 Hf 0.2500 0.2500 0.2500  4 Br 2.91, 4 Ir 2.91
3 Br 0.0000 0.0000 0.0000  8 Hf 2.91
4 Ir 0.5000 0.5000 0.5000  8 Hf 2.91

## Properties
Space group: Fm-3m, No. 225
Calculated density in g cm⁻³: 13.72
DOS at the Fermi energy in states/eV per cell: 4.2

***

#B
Hf2IrBr: optimized geometry, GGA-PBE.

a = 5.8592 Å, b = 5.8592 Å, c = 7.7101 Å
α = 67.67°, β = 67.67°, γ = 90.00°
With the nearest neighbours (Å) after each atom.
Element x y z (fractional)
1 Br 0.5000 0.5000 0.0000  4 Hf 2.77
2 Br 0.2500 0.7500 0.5000  4 Hf 2.77
3 Hf 0.3750 0.3351 0.7500  2 Ir 2.51, 2 Br 2.77
4 Hf 0.8750 0.9149 0.7500  2 Ir 2.51, 2 Br 2.77
5 Hf 0.0851 0.6250 0.2500  2 Ir 2.51, 2 Br 2.77
6 Hf 0.6649 0.1250 0.2500  2 Ir 2.51, 2 Br 2.77
7 Ir 0.0000 0.0000 0.0000  4 Hf 2.51
8 Ir 0.7500 0.2500 0.5000  4 Hf 2.51

## Properties
Space group: I-42d, No. 122
Calculated density in g cm⁻³: 9.36
DOS at the Fermi energy in states/eV per cell: 4.1

***

Least stable = #B

***

#A
HfIr2Br: optimized geometry, GGA-PBE.

a = 4.6546 Å, b = 4.6546 Å, c = 4.6546 Å
α = 60.00°, β = 60.00°, γ = 60.00°
With the nearest neighbours (Å) after each atom.
Element x y z (fractional)
1 Br 0.0000 0.0000 0.0000  8 Ir 2.85
2 Hf 0.5000 0.5000 0.5000  8 Ir 2.85
3 Ir 0.7500 0.7500 0.7500  4 Br 2.85, 4 Hf 2.85
4 Ir 0.2500 0.2500 0.2500  4 Hf 2.85, 4 Br 2.85

## Properties
Space group: Fm-3m, No. 225
Calculated density in g cm⁻³: 14.97
DOS at the Fermi energy in states/eV per cell: 2.7

***

#B
HfIr2Br: optimized geometry, GGA-PBE.

a = 5.6507 Å, b = 5.6507 Å, c = 7.2756 Å
α = 67.15°, β = 67.15°, γ = 90.00°
With the nearest neighbours (Å) after each atom.
Element x y z (fractional)
1 Br 0.2500 0.7500 0.5000  4 Ir 2.44
2 Br 0.5000 0.5000 0.0000  4 Ir 2.44
3 Ir 0.3750 0.3979 0.7500  2 Br 2.44, 2 Hf 2.59
4 Ir 0.6021 0.1250 0.2500  2 Br 2.44, 2 Hf 2.59
5 Ir 0.1479 0.6250 0.2500  2 Br 2.44, 2 Hf 2.59
6 Ir 0.8750 0.8521 0.7500  2 Br 2.44, 2 Hf 2.59
7 Hf 0.7500 0.2500 0.5000  4 Ir 2.59
8 Hf 0.0000 0.0000 0.0000  4 Ir 2.59

## Properties
Space group: I-42d, No. 122
Calculated density in g cm⁻³: 11.00
DOS at the Fermi energy in states/eV per cell: 6.8

***

Least stable = #B

***

#A
HfIrBr3: optimized geometry, GGA-PBE.

a = 5.2377 Å, b = 5.2377 Å, c = 5.2377 Å
α = 90.00°, β = 90.00°, γ = 90.00°
With the nearest neighbours (Å) after each atom.
Element x y z (fractional)
1 Hf 0.0000 0.0000 0.0000  6 Br 2.62
2 Br 0.0000 0.5000 0.0000  2 Hf 2.62
3 Br 0.5000 0.0000 0.0000  2 Hf 2.62
4 Br 0.0000 0.0000 0.5000  2 Hf 2.62
5 Ir 0.5000 0.5000 0.5000  12 Br 3.70

## Properties
Space group: Pm-3m, No. 221
Calculated density in g cm⁻³: 7.05
DOS at the Fermi energy in states/eV per cell: 7.6

***

#B
HfIrBr3: optimized geometry, GGA-PBE.

a = 5.0426 Å, b = 5.0426 Å, c = 5.0426 Å
α = 90.00°, β = 90.00°, γ = 90.00°
With the nearest neighbours (Å) after each atom.
Element x y z (fractional)
1 Ir 0.0000 0.0000 0.0000  6 Br 2.52
2 Br 0.0000 0.5000 0.0000  2 Ir 2.52
3 Br 0.5000 0.0000 0.0000  2 Ir 2.52
4 Br 0.0000 0.0000 0.5000  2 Ir 2.52
5 Hf 0.5000 0.5000 0.5000  12 Br 3.57

## Properties
Space group: Pm-3m, No. 221
Calculated density in g cm⁻³: 7.91
DOS at the Fermi energy in states/eV per cell: 6.8

***

Least stable = #B

***

#A
HfIrSeBr2: optimized geometry, GGA-PBE.

a = 5.2509 Å, b = 5.2509 Å, c = 5.1471 Å
α = 90.00°, β = 90.00°, γ = 90.00°
With the nearest neighbours (Å) after each atom.
Element x y z (fractional)
1 Br 0.0000 0.5000 0.0000  2 Hf 2.63
2 Br 0.5000 0.0000 0.0000  2 Hf 2.63
3 Ir 0.5000 0.5000 0.5000  8 Br 3.68, 4 Se 3.71
4 Se 0.0000 0.0000 0.5000  2 Hf 2.57
5 Hf 0.0000 0.0000 0.0000  2 Se 2.57, 4 Br 2.63

## Properties
Space group: P4/mmm, No. 123
Calculated density in g cm⁻³: 7.13
DOS at the Fermi energy in states/eV per cell: 6.1

***

#B
HfIrSeBr2: optimized geometry, GGA-PBE.

a = 4.9415 Å, b = 4.9415 Å, c = 4.9963 Å
α = 90.00°, β = 90.00°, γ = 90.00°
With the nearest neighbours (Å) after each atom.
Element x y z (fractional)
1 Se 0.0000 0.0000 0.5000  2 Ir 2.50
2 Br 0.5000 0.0000 0.0000  2 Ir 2.47
3 Br 0.0000 0.5000 0.0000  2 Ir 2.47
4 Ir 0.0000 0.0000 0.0000  4 Br 2.47, 2 Se 2.50
5 Hf 0.5000 0.5000 0.5000  4 Se 3.49, 8 Br 3.51

## Properties
Space group: P4/mmm, No. 123
Calculated density in g cm⁻³: 8.30
DOS at the Fermi energy in states/eV per cell: 5.0

***

Least stable = #B